LiZn5Cu2 | PBE | optimized geometry

Output
Its calculated density is 6.991 g/cm³. The energy of formation comes out at -0.11 eV/atom. The energy above the most stable polymorph in this dataset comes out at 0.0 meV/atom. As for the raw total energy: -2.1719 eV/atom. As for the crystal system: tetragonal.

abc: 4.2486 4.2486 12.1341
angles: 90.00 90.00 90.00
With the nearest neighbours (Å) after each atom.
Space group I4/mmm (No. 139)
Unique sites:
Li 0.0000 0.0000 0.0000 x2  8 Zn 2.65
Zn 0.0000 0.0000 0.5000 x2  8 Zn 2.65
Zn 0.0000 0.5000 0.1311 x8  4 Cu 2.56-2.57, 2 Zn 2.65, 2 Li 2.65
Cu 0.0000 0.0000 0.2489 x4  8 Zn 2.56-2.57

---

LiZn2Cu | PBE | optimized geometry

Output
Its calculated density is 6.215 g/cm³. The energy of formation comes out at -0.13 eV/atom. As for the raw total energy: -2.2733 eV/atom. As for the crystal system: cubic.

abc: 5.9922 5.9922 5.9922
angles: 90.00 90.00 90.00
With the nearest neighbours (Å) after each atom.
Space group F-43m (No. 216)
Unique sites:
Li 0.0000 0.0000 0.0000 x4  4 Cu 2.59, 4 Zn 2.59
Zn 0.0000 0.0000 0.5000 x4  4 Cu 2.59, 4 Zn 2.59
Zn 0.2500 0.2500 0.7500 x4  4 Li 2.59, 4 Zn 2.59
Cu 0.2500 0.2500 0.2500 x4  4 Li 2.59, 4 Zn 2.59

---

LiZn9Cu3 | PBE | optimized geometry

Output
Its calculated density is 6.833 g/cm³. The energy of formation comes out at -0.09 eV/atom. As for the raw total energy: -2.0660 eV/atom. As for the crystal system: monoclinic.

abc: 4.9520 12.4060 6.6701
angles: 90.00 111.16 90.00
With the nearest neighbours (Å) after each atom.
Space group C2/m (No. 12)
Unique sites:
Li 0.0000 0.0000 0.0000 x2  14 Zn 3.02-3.36, 6 Cu 3.34
Zn 0.0000 0.5000 0.5000 x2  2 Cu 2.48, 8 Zn 2.56-2.71
Zn 0.1099 0.3922 0.2116 x8  3 Cu 2.51-2.56, 5 Zn 2.56-2.77
Zn 0.1621 0.1742 0.3390 x8  3 Cu 2.61-2.66, 6 Zn 2.68-2.92
Cu 0.0000 0.0000 0.5000 x2  10 Zn 2.48-2.66
Cu 0.2500 0.2500 0.0000 x4  2 Cu 2.48, 8 Zn 2.51-2.63

---

Li2Zn5Cu2 | PBE | optimized geometry

Output
Its calculated density is 5.471 g/cm³. The energy of formation comes out at 0.00 eV/atom. The energy above the most stable polymorph in this dataset comes out at 88.9 meV/atom. As for the raw total energy: -2.0402 eV/atom. As for the crystal system: orthorhombic.

abc: 15.7049 6.0655 5.9653
angles: 90.00 90.00 90.00
With the nearest neighbours (Å) after each atom.
Space group Ima2 (No. 46)
Unique sites:
Li 0.0000 0.0000 0.0000 x4  8 Zn 3.01-3.27, 8 Cu 3.12-3.35
Li 0.2500 0.0246 0.0045 x4  10 Zn 2.67-2.88
Zn 0.1373 0.2404 0.7469 x8  2 Cu 2.43, 2 Li 2.68-2.69, 2 Zn 2.71-2.72
Zn 0.1565 0.7403 0.2461 x8  2 Cu 2.42-2.43, 2 Zn 2.64-2.65, 2 Li 2.67-2.68
Zn 0.2500 0.0169 0.4865 x4  8 Zn 2.64-2.72, 2 Li 2.78-2.88, 2 Cu 2.78
Cu 0.0732 0.5192 0.9856 x8  1 Cu 2.31, 4 Zn 2.42-2.43

---

Li4Zn4Cu3 | PBE | optimized geometry

Output
Its calculated density is 5.315 g/cm³. The energy of formation comes out at -0.12 eV/atom. The energy above the most stable polymorph in this dataset comes out at 0.0 meV/atom. As for the raw total energy: -2.4007 eV/atom. As for the crystal system: triclinic.

abc: 2.6275 3.8652 14.9001
angles: 82.76 87.62 89.88
With the nearest neighbours (Å) after each atom.
Space group P-1 (No. 2)
Unique sites:
Li 0.0802 0.0893 0.3212 x2  5 Zn 2.61-2.71, 2 Li 2.63, 5 Cu 2.64-2.74
Li 0.3040 0.2764 0.9476 x2  1 Cu 2.61, 6 Li 2.63-2.92, 5 Zn 2.68-2.92
Zn 0.1539 0.1776 0.1445 x2  6 Li 2.61-2.92, 2 Zn 2.63, 4 Cu 2.63-2.67
Zn 0.4601 0.4552 0.5895 x2  3 Zn 2.63-2.64, 4 Li 2.66-2.71, 5 Cu 2.66-2.71
Cu 0.0000 0.0000 0.5000 x1  2 Cu 2.63, 2 Li 2.64, 8 Zn 2.66-2.71
Cu 0.3771 0.3645 0.7708 x2  5 Li 2.61-2.74, 2 Cu 2.63, 5 Zn 2.63-2.68

---

Li2ZnCu2 | PBE | optimized geometry

Output
Its calculated density is 5.210 g/cm³. The energy of formation comes out at 0.05 eV/atom. The energy above the most stable polymorph in this dataset comes out at 162.0 meV/atom. As for the raw total energy: -2.6052 eV/atom. As for the crystal system: tetragonal.

abc: 6.9686 6.9686 2.7090
angles: 90.00 90.00 90.00
With the nearest neighbours (Å) after each atom.
Space group P4/mbm (No. 127)
Unique sites:
Li 0.1307 0.3693 0.0000 x4  6 Cu 2.41-2.49, 1 Li 2.58
Zn 0.0000 0.0000 0.0000 x2  2 Zn 2.71, 4 Li 2.73, 8 Cu 2.93
Cu 0.1667 0.6667 0.5000 x4  6 Li 2.41-2.49

---

Li2ZnCu3 | PBE | optimized geometry

Output
Its calculated density is 5.217 g/cm³. The energy of formation comes out at -0.12 eV/atom. The energy above the most stable polymorph in this dataset comes out at 0.0 meV/atom. As for the raw total energy: -3.0165 eV/atom. As for the crystal system: trigonal.

abc: 4.9325 4.9325 12.2323
angles: 90.00 90.00 120.00
With the nearest neighbours (Å) after each atom.
Space group R-3m (No. 166, hexagonal axes)
Unique sites:
Li 0.0000 0.0000 0.1221 x6  9 Cu 2.88-2.95, 3 Zn 2.90, 4 Li 2.99-3.05
Zn 0.0000 0.0000 0.5000 x3  6 Cu 2.49
Cu 0.0000 0.5000 0.0000 x9  4 Cu 2.47, 2 Zn 2.49

---

Li3Zn7Cu2 | PBE | optimized geometry

Output
Its calculated density is 5.472 g/cm³. The energy of formation comes out at -0.07 eV/atom. The energy above the most stable polymorph in this dataset comes out at 50.0 meV/atom. As for the raw total energy: -1.9775 eV/atom. As for the crystal system: monoclinic.

abc: 4.2189 4.2908 10.3516
angles: 90.00 101.17 90.00
With the nearest neighbours (Å) after each atom.
Space group P2/m (No. 10)
Unique sites:
Li 0.0000 0.0000 0.0000 x1  8 Zn 2.66-2.68
Li 0.3578 0.5000 0.6882 x2  6 Zn 2.52-2.65
Zn 0.0726 0.5000 0.1559 x2  2 Cu 2.61, 4 Li 2.62-2.67, 2 Zn 2.63-2.64
Zn 0.2775 0.0000 0.5576 x2  2 Zn 2.41, 2 Li 2.52, 3 Cu 2.53-2.59
Zn 0.4195 0.0000 0.8389 x2  2 Cu 2.54-2.56, 4 Li 2.64-2.68, 2 Zn 2.70
Zn 0.5000 0.5000 0.0000 x1  8 Zn 2.63-2.70
Cu 0.1515 0.0000 0.3023 x2  7 Zn 2.53-2.61